No. 1
{"formula": "Li4TbTh3Te8", "functional": "PBE", "state": "relaxed", "lattice_angstrom": [[8.623, 0.000, 0.000], [0.000, 8.814, 0.129], [-4.311, -4.308, 6.099]], "species": ["Li", "Li", "Li", "Li", "Tb", "Th", "Th", "Th", "Te", "Te", "Te", "Te", "Te", "Te", "Te", "Te"], "fractional_positions": [[0.500, 0.000, 0.000], [0.500, 0.000, 0.500], [0.000, 0.000, 0.000], [0.000, 0.000, 0.500], [0.000, 0.500, 0.000], [0.500, 0.500, 0.000], [0.500, 0.500, 0.500], [0.000, 0.500, 0.500], [0.253, 0.766, 0.013], [0.253, 0.766, 0.505], [0.243, 0.228, 0.485], [0.760, 0.766, 0.013], [0.240, 0.234, 0.987], [0.757, 0.772, 0.515], [0.747, 0.234, 0.495], [0.747, 0.234, 0.987]], "formation_energy_uncorrected_kj_per_mol_fu": -1748, "crystal_system": "trigonal", "dos_ef_per_ev_atom": 0.476, "magmom_total_mub_per_cell": 0.0, "final_energy_ev_per_atom": -4.862}


No. 2
{"formula": "CeMnCl5", "functional": "PBE", "state": "relaxed", "lattice_angstrom": [[-4.635, -5.480, 1.427], [-0.244, -2.334, -6.932], [9.532, -1.450, 4.463]], "species": ["Ce", "Ce", "Mn", "Mn", "Cl", "Cl", "Cl", "Cl", "Cl", "Cl", "Cl", "Cl", "Cl", "Cl"], "fractional_positions": [[0.500, 0.000, 0.000], [0.500, 0.000, 0.500], [0.895, 0.605, 0.250], [0.105, 0.395, 0.750], [0.727, 0.692, 0.045], [0.242, 0.659, 0.329], [0.422, 0.078, 0.250], [0.807, 0.773, 0.455], [0.193, 0.227, 0.545], [0.841, 0.258, 0.171], [0.159, 0.742, 0.829], [0.578, 0.922, 0.750], [0.758, 0.341, 0.671], [0.273, 0.308, 0.955]], "formation_energy_uncorrected_kj_per_mol_fu": -1143, "crystal_system": "monoclinic", "dos_ef_per_ev_atom": 1.295, "magmom_total_mub_per_cell": 12.0, "final_energy_ev_per_atom": -5.169, "e_above_lowest_polymorph_ev_per_atom": 0.0000}


No. 3
{"formula": "PaFeRu2", "functional": "PBE", "state": "relaxed", "lattice_angstrom": [[3.797, 0.000, 0.000], [0.000, 4.121, 0.000], [0.000, 0.000, 4.121]], "species": ["Ru", "Ru", "Pa", "Fe"], "fractional_positions": [[0.000, 0.000, 0.500], [0.000, 0.500, 0.000], [0.500, 0.000, 0.000], [0.500, 0.500, 0.500]], "e_form_mev_per_atom": -256, "crystal_system": "tetragonal", "dos_ef_per_ev_atom": 1.454, "magmom_total_mub_per_cell": 2.0, "final_energy_ev_per_atom": -9.383}


No. 4
{"formula": "TcPdBr2", "functional": "PBE", "state": "relaxed", "lattice_angstrom": [[4.683, -0.755, 7.068], [4.006, -4.063, 6.316], [6.628, -2.435, 4.753]], "species": ["Br", "Br", "Tc", "Pd"], "fractional_positions": [[0.900, 0.900, 0.900], [0.100, 0.100, 0.100], [0.500, 0.500, 0.500], [0.000, 0.000, 0.000]], "formation_energy_uncorrected_kj_per_mol_fu": 163, "crystal_system": "trigonal", "dos_ef_per_ev_atom": 0.491, "magmom_total_mub_per_cell": 1.1, "final_energy_ev_per_atom": -4.303, "e_above_lowest_polymorph_ev_per_atom": 0.0000}


No. 5
{"formula": "RbNaCeSe3", "functional": "PBE", "state": "relaxed", "lattice_angstrom": [[-1.962, 2.806, 2.641], [1.387, -6.616, 8.057], [7.607, 3.523, 1.908]], "species": ["Rb", "Rb", "Na", "Na", "Ce", "Ce", "Se", "Se", "Se", "Se", "Se", "Se"], "fractional_positions": [[0.250, 0.322, 0.436], [0.750, 0.678, 0.564], [0.250, 0.015, 0.804], [0.750, 0.985, 0.196], [0.250, 0.676, 0.066], [0.750, 0.324, 0.934], [0.750, 0.815, 0.917], [0.250, 0.185, 0.083], [0.250, 0.824, 0.322], [0.750, 0.176, 0.678], [0.750, 0.512, 0.188], [0.250, 0.488, 0.812]], "formation_energy_uncorrected_kj_per_mol_fu": -829, "crystal_system": "monoclinic", "magmom_total_mub_per_cell": 0.0, "final_energy_ev_per_atom": -4.545}


No. 6
{"formula": "Cs2NaFe", "functional": "PBE", "state": "relaxed", "lattice_angstrom": [[-0.429, -6.512, -1.450], [-5.976, -2.988, -0.224], [-2.540, -1.959, -5.866]], "species": ["Cs", "Cs", "Na", "Fe"], "fractional_positions": [[0.250, 0.250, 0.250], [0.750, 0.750, 0.750], [0.000, 0.000, 0.000], [0.500, 0.500, 0.500]], "e_form_mev_per_atom": 796, "crystal_system": "cubic", "dos_ef_per_ev_atom": 0.162, "magmom_total_mub_per_cell": 3.0, "final_energy_ev_per_atom": -2.076}


Repeat the sixth record exactly.
{"formula": "Cs2NaFe", "functional": "PBE", "state": "relaxed", "lattice_angstrom": [[-0.429, -6.512, -1.450], [-5.976, -2.988, -0.224], [-2.540, -1.959, -5.866]], "species": ["Cs", "Cs", "Na", "Fe"], "fractional_positions": [[0.250, 0.250, 0.250], [0.750, 0.750, 0.750], [0.000, 0.000, 0.000], [0.500, 0.500, 0.500]], "e_form_mev_per_atom": 796, "crystal_system": "cubic", "dos_ef_per_ev_atom": 0.162, "magmom_total_mub_per_cell": 3.0, "final_energy_ev_per_atom": -2.076}


Copy entry 2 word for word.
{"formula": "CeMnCl5", "functional": "PBE", "state": "relaxed", "lattice_angstrom": [[-4.635, -5.480, 1.427], [-0.244, -2.334, -6.932], [9.532, -1.450, 4.463]], "species": ["Ce", "Ce", "Mn", "Mn", "Cl", "Cl", "Cl", "Cl", "Cl", "Cl", "Cl", "Cl", "Cl", "Cl"], "fractional_positions": [[0.500, 0.000, 0.000], [0.500, 0.000, 0.500], [0.895, 0.605, 0.250], [0.105, 0.395, 0.750], [0.727, 0.692, 0.045], [0.242, 0.659, 0.329], [0.422, 0.078, 0.250], [0.807, 0.773, 0.455], [0.193, 0.227, 0.545], [0.841, 0.258, 0.171], [0.159, 0.742, 0.829], [0.578, 0.922, 0.750], [0.758, 0.341, 0.671], [0.273, 0.308, 0.955]], "formation_energy_uncorrected_kj_per_mol_fu": -1143, "crystal_system": "monoclinic", "dos_ef_per_ev_atom": 1.295, "magmom_total_mub_per_cell": 12.0, "final_energy_ev_per_atom": -5.169, "e_above_lowest_polymorph_ev_per_atom": 0.0000}